# MgZn4Os

A crystal of MgZn4Os relaxed with PBEsol (meta-GGA SCAN, the Alexandria database).

a = 4.9113 Å, b = 4.9113 Å, c = 4.9113 Å
α = 60.00°, β = 60.00°, γ = 60.00°
Fractional coordinates of all 6 atoms:
Mg 0.0000 0.0000 0.0000
Zn 0.1279 0.6240 0.6240
Zn 0.6240 0.1279 0.6240
Zn 0.6240 0.6240 0.1279
Zn 0.6240 0.6240 0.6240
Os 0.2500 0.2500 0.2500

calculated total energy	-21.80	eV per atom
energy of formation from the pure elements	20	meV per atom

---

# Mg2ZrOs

A crystal of Mg2ZrOs relaxed with PBEsol (meta-GGA SCAN, the Alexandria database).

a = 2.8170 Å, b = 4.6868 Å, c = 5.5273 Å
α = 90.00°, β = 103.91°, γ = 90.00°
Fractional coordinates of all 4 atoms:
Mg 0.0824 0.0000 0.2692
Mg 0.9176 0.0000 0.7308
Zr 0.5000 0.5000 0.0000
Os 0.5000 0.5000 0.5000

energy above the lowest structure with this stoichiometry	143	meV per atom
calculated total energy	-28.12	eV per atom
energy of formation from the pure elements	15	meV per atom

---

# Mg3ZrOs

A crystal of Mg3ZrOs relaxed with PBEsol (meta-GGA SCAN, the Alexandria database).

a = 5.1334 Å, b = 5.1334 Å, c = 5.1334 Å
α = 90.00°, β = 90.00°, γ = 90.00°
Fractional coordinates of all 5 atoms:
Mg 0.0000 0.0000 0.5000
Mg 0.0000 0.5000 0.0000
Mg 0.5000 0.0000 0.0000
Zr 0.0000 0.0000 0.0000
Os 0.5000 0.5000 0.5000

calculated total energy	-21.20	eV per atom
energy of formation from the pure elements	2304	meV per atom

---

# MgZrOs2

A crystal of MgZrOs2 relaxed with PBEsol (meta-GGA SCAN, the Alexandria database).

a = 4.5000 Å, b = 4.5000 Å, c = 4.5000 Å
α = 60.00°, β = 60.00°, γ = 60.00°
Fractional coordinates of all 4 atoms:
Mg 0.0000 0.0000 0.0000
Zr 0.7500 0.7500 0.7500
Os 0.2500 0.2500 0.2500
Os 0.5000 0.5000 0.5000

calculated total energy	-44.76	eV per atom
energy of formation from the pure elements	94	meV per atom